## i
Ge2WCl: relaxed, PBE. Values from VASP.

Structure (Quantum ESPRESSO input):
```
&SYSTEM
  ibrav = 0, nat = 16, ntyp = 3
/
ATOMIC_SPECIES
Ge 72.64 Ge.upf
W 183.84 W.upf
Cl 35.45 Cl.upf
ATOMIC_POSITIONS angstrom
Ge 1.643 1.643 1.643
Ge 1.643 1.643 4.928
Ge 1.643 4.928 1.643
Ge 1.643 4.928 4.928
Ge 4.928 1.643 1.643
Ge 4.928 1.643 4.928
Ge 4.928 4.928 1.643
Ge 4.928 4.928 4.928
W 0.000 0.000 0.000
W 0.000 3.285 3.285
W 3.285 0.000 3.285
W 3.285 3.285 0.000
Cl 0.000 0.000 3.285
Cl 0.000 3.285 0.000
Cl 3.285 0.000 0.000
Cl 3.285 3.285 3.285
CELL_PARAMETERS angstrom
6.570 0.000 0.000
0.000 6.570 0.000
0.000 0.000 6.570
```

## ii
Ge2WCl: relaxed, PBE. Values from VASP.

Structure (Quantum ESPRESSO input):
```
&SYSTEM
  ibrav = 0, nat = 16, ntyp = 3
/
ATOMIC_SPECIES
Ge 72.64 Ge.upf
W 183.84 W.upf
Cl 35.45 Cl.upf
ATOMIC_POSITIONS angstrom
Ge 1.200 1.513 1.482
Ge 1.513 4.227 4.446
Ge 1.513 4.853 10.373
Ge 1.826 1.513 7.409
Ge 4.227 4.540 7.409
Ge 4.540 1.200 10.373
Ge 4.540 1.826 4.446
Ge 4.853 4.540 1.482
W 0.000 0.000 0.000
W 0.000 3.027 2.964
W 3.027 0.000 8.891
W 3.027 3.027 5.928
Cl 0.000 0.000 5.928
Cl 0.000 3.027 8.891
Cl 3.027 0.000 2.964
Cl 3.027 3.027 0.000
CELL_PARAMETERS angstrom
6.053 0.000 0.000
0.000 6.053 0.000
0.000 0.000 11.855
```

Relative energies, meV per atom: i 211; ii 0.

## i
GeW2Cl: relaxed, PBE. Values from VASP.

Structure (Quantum ESPRESSO input):
```
&SYSTEM
  ibrav = 0, nat = 16, ntyp = 3
/
ATOMIC_SPECIES
Ge 72.64 Ge.upf
W 183.84 W.upf
Cl 35.45 Cl.upf
ATOMIC_POSITIONS angstrom
Ge 0.000 0.000 0.000
Ge 0.000 3.552 1.348
Ge 3.552 0.000 4.045
Ge 3.552 3.552 2.697
W 1.270 1.776 3.371
W 1.776 4.822 4.720
W 1.776 5.835 2.023
W 2.283 1.776 0.674
W 4.822 5.328 0.674
W 5.328 1.270 2.023
W 5.328 2.283 4.720
W 5.835 5.328 3.371
Cl 0.000 0.000 2.697
Cl 0.000 3.552 4.045
Cl 3.552 0.000 1.348
Cl 3.552 3.552 0.000
CELL_PARAMETERS angstrom
7.104 0.000 0.000
0.000 7.104 0.000
0.000 0.000 5.394
```

## ii
GeW2Cl: relaxed, PBE. Values from VASP.

Structure (Quantum ESPRESSO input):
```
&SYSTEM
  ibrav = 0, nat = 16, ntyp = 3
/
ATOMIC_SPECIES
Ge 72.64 Ge.upf
W 183.84 W.upf
Cl 35.45 Cl.upf
ATOMIC_POSITIONS angstrom
Ge 0.000 0.000 0.000
Ge 0.000 3.125 3.125
Ge 3.125 0.000 3.125
Ge 3.125 3.125 0.000
W 1.563 1.563 1.563
W 1.563 1.563 4.688
W 1.563 4.688 1.563
W 1.563 4.688 4.688
W 4.688 1.563 1.563
W 4.688 1.563 4.688
W 4.688 4.688 1.563
W 4.688 4.688 4.688
Cl 0.000 0.000 3.125
Cl 0.000 3.125 0.000
Cl 3.125 0.000 0.000
Cl 3.125 3.125 3.125
CELL_PARAMETERS angstrom
6.251 0.000 0.000
0.000 6.251 0.000
0.000 0.000 6.251
```

Relative energies, meV per atom: i 380; ii 0.

## i
GeWCl3: relaxed, PBE. Values from VASP.

Structure (Quantum ESPRESSO input):
```
&SYSTEM
  ibrav = 0, nat = 5, ntyp = 3
/
ATOMIC_SPECIES
Ge 72.64 Ge.upf
W 183.84 W.upf
Cl 35.45 Cl.upf
ATOMIC_POSITIONS angstrom
Ge 0.000 0.000 0.000
W 2.570 2.570 2.570
Cl 0.000 0.000 2.570
Cl 0.000 2.570 0.000
Cl 2.570 0.000 0.000
CELL_PARAMETERS angstrom
5.140 0.000 0.000
0.000 5.140 0.000
0.000 0.000 5.140
```

## ii
GeWCl3: relaxed, PBE. Values from VASP.

Structure (Quantum ESPRESSO input):
```
&SYSTEM
  ibrav = 0, nat = 5, ntyp = 3
/
ATOMIC_SPECIES
Ge 72.64 Ge.upf
W 183.84 W.upf
Cl 35.45 Cl.upf
ATOMIC_POSITIONS angstrom
Ge 0.000 0.000 0.000
W 2.443 2.443 2.443
Cl 0.000 2.443 2.443
Cl 2.443 0.000 2.443
Cl 2.443 2.443 0.000
CELL_PARAMETERS angstrom
4.886 0.000 0.000
0.000 4.886 0.000
0.000 0.000 4.886
```

Relative energies, meV per atom: i 406; ii 0.

## i
Y2GeWCl: relaxed, PBE. Values from VASP.

Structure (Quantum ESPRESSO input):
```
&SYSTEM
  ibrav = 0, nat = 5, ntyp = 4
/
ATOMIC_SPECIES
Y 88.91 Y.upf
Ge 72.64 Ge.upf
W 183.84 W.upf
Cl 35.45 Cl.upf
ATOMIC_POSITIONS angstrom
Y 0.000 2.748 0.000
Y 2.748 0.000 0.000
Ge 0.000 0.000 2.411
W 0.000 0.000 0.000
Cl 2.748 2.748 2.411
CELL_PARAMETERS angstrom
5.495 0.000 0.000
0.000 5.495 0.000
0.000 0.000 4.823
```

## ii
Y2GeWCl: relaxed, PBE. Values from VASP.

Structure (Quantum ESPRESSO input):
```
&SYSTEM
  ibrav = 0, nat = 5, ntyp = 4
/
ATOMIC_SPECIES
Y 88.91 Y.upf
Ge 72.64 Ge.upf
W 183.84 W.upf
Cl 35.45 Cl.upf
ATOMIC_POSITIONS angstrom
Y 0.000 2.776 0.000
Y 2.776 0.000 0.000
Ge 0.000 0.000 0.000
W 0.000 0.000 2.345
Cl 2.776 2.776 2.345
CELL_PARAMETERS angstrom
5.552 0.000 0.000
0.000 5.552 0.000
0.000 0.000 4.689
```

Relative energies, meV per atom: i 0; ii 340.